(1)
The following is a PBE calculation of an optimized crystal structure of CsMoN2, from the Alexandria database. Values from VASP.

Values from the calculation:
- formation energy without anion corrections (eV per atom) = 2.1351
- crystal system = cubic
- calculated volume (Å³ per cell) = 60.2
- polymorph energy (0 for the lowest one) (kcal/mol of atoms) = 59.314
- Fermi-level density of states (states/eV per atom) = 0.703

The structure in Quantum ESPRESSO input format:
```
&SYSTEM
  ibrav = 0, nat = 4, ntyp = 3
/
ATOMIC_SPECIES
N 14.01 N.upf
Cs 132.91 Cs.upf
Mo 95.94 Mo.upf
ATOMIC_POSITIONS angstrom
N -3.2440 -6.7781 -2.9703
N -1.0813 -2.2594 -0.9901
Cs -2.1626 -4.5187 -1.9802
Mo 0.0000 0.0000 0.0000
CELL_PARAMETERS angstrom
0.6205 -4.3117 -0.6077
-3.4040 -2.7717 0.2735
-1.5417 -1.9540 -3.6262
```

(2)
The following is a PBE calculation of an optimized crystal structure of Zn2TcMo, from the Alexandria database. Values from VASP.

Values from the calculation:
- crystal system = monoclinic
- calculated volume (Å³ per cell) = 59.1
- calculated formation energy (eV per atom) = 0.06
- polymorph energy (0 for the lowest one) (kcal/mol of atoms) = 0.622
- Fermi-level density of states (states/eV per atom) = 0.639

The structure in Quantum ESPRESSO input format:
```
&SYSTEM
  ibrav = 0, nat = 4, ntyp = 3
/
ATOMIC_SPECIES
Tc 98.00 Tc.upf
Zn 65.41 Zn.upf
Mo 95.94 Mo.upf
ATOMIC_POSITIONS angstrom
Tc 2.0461 -4.4148 0.8793
Zn 0.2748 -0.0297 0.0083
Zn 0.3555 -2.4093 -0.7973
Mo 1.6155 -2.0205 1.6951
CELL_PARAMETERS angstrom
-0.2154 -2.8966 -3.2475
2.6896 -0.2049 0.0043
0.3154 -3.7803 3.3509
```